Entry 1:
Entry from OQMD via LeMat-Bulk: a geometry-optimized LiFeHgGe structure (PBE).

## Properties
**Calculated total energy**: -14.8 eV per cell
**Excess energy over the best structure of this formula in the dataset**: 0 meV per atom

```
4
Lattice="0.000 3.140 3.140 3.140 0.000 3.140 3.140 3.140 0.000" Properties=species:S:1:pos:R:3 pbc="T T T"
Li 0.000 0.000 0.000
Fe 3.140 3.140 3.140
Hg 4.710 4.710 4.710
Ge 1.570 1.570 1.570
```



Entry 2:
Entry from OQMD via LeMat-Bulk: a geometry-optimized LuFeHgGe structure (PBE).

## Properties
**Calculated total energy**: -17.2 eV per cell
**Excess energy over the best structure of this formula in the dataset**: 183 meV per atom

```
4
Lattice="0.000 3.367 3.367 3.367 0.000 3.367 3.367 3.367 0.000" Properties=species:S:1:pos:R:3 pbc="T T T"
Lu 0.000 0.000 0.000
Fe 5.050 5.050 5.050
Hg 1.683 1.683 1.683
Ge 3.367 3.367 3.367
```



Entry 3:
Entry from OQMD via LeMat-Bulk: a geometry-optimized LuFeHgGe structure (PBE).

## Properties
**Calculated total energy**: -18.0 eV per cell
**Excess energy over the best structure of this formula in the dataset**: 0 meV per atom

```
4
Lattice="0.000 3.365 3.365 3.365 0.000 3.365 3.365 3.365 0.000" Properties=species:S:1:pos:R:3 pbc="T T T"
Lu 0.000 0.000 0.000
Fe 3.365 3.365 3.365
Hg 5.048 5.048 5.048
Ge 1.683 1.683 1.683
```



Entry 4:
Entry from OQMD via LeMat-Bulk: a geometry-optimized FeHgGeMo structure (PBE).

## Properties
**Calculated total energy**: -20.9 eV per cell
**Excess energy over the best structure of this formula in the dataset**: 254 meV per atom

```
4
Lattice="0.000 3.238 3.238 3.238 0.000 3.238 3.238 3.238 0.000" Properties=species:S:1:pos:R:3 pbc="T T T"
Fe 0.000 0.000 0.000
Hg 3.238 3.238 3.238
Ge 4.858 4.858 4.858
Mo 1.619 1.619 1.619
```



Entry 5:
Entry from OQMD via LeMat-Bulk: a geometry-optimized FeHgGeMo structure (PBE).

## Properties
**Calculated total energy**: -21.9 eV per cell
**Excess energy over the best structure of this formula in the dataset**: 0 meV per atom

```
4
Lattice="0.000 3.169 3.169 3.169 0.000 3.169 3.169 3.169 0.000" Properties=species:S:1:pos:R:3 pbc="T T T"
Fe 0.000 0.000 0.000
Hg 1.584 1.584 1.584
Ge 4.753 4.753 4.753
Mo 3.169 3.169 3.169
```



Entry 6:
Entry from OQMD via LeMat-Bulk: a geometry-optimized NbFeHgGe structure (PBE).

## Properties
**Calculated total energy**: -21.2 eV per cell
**Excess energy over the best structure of this formula in the dataset**: 160 meV per atom

```
4
Lattice="0.000 3.255 3.255 3.255 0.000 3.255 3.255 3.255 0.000" Properties=species:S:1:pos:R:3 pbc="T T T"
Nb 0.000 0.000 0.000
Fe 4.882 4.882 4.882
Hg 1.627 1.627 1.627
Ge 3.255 3.255 3.255
```



Entry 7:
Entry from OQMD via LeMat-Bulk: a geometry-optimized NbFeHgGe structure (PBE).

## Properties
**Calculated total energy**: -21.9 eV per cell
**Excess energy over the best structure of this formula in the dataset**: 0 meV per atom

```
4
Lattice="0.000 3.221 3.221 3.221 0.000 3.221 3.221 3.221 0.000" Properties=species:S:1:pos:R:3 pbc="T T T"
Nb 0.000 0.000 0.000
Fe 3.221 3.221 3.221
Hg 4.831 4.831 4.831
Ge 1.610 1.610 1.610
```



Entry 8:
Entry from OQMD via LeMat-Bulk: a geometry-optimized FeHgGePd structure (PBE).

## Properties
**Calculated total energy**: -17.8 eV per cell
**Excess energy over the best structure of this formula in the dataset**: 0 meV per atom

```
4
Lattice="0.000 3.198 3.198 3.198 0.000 3.198 3.198 3.198 0.000" Properties=species:S:1:pos:R:3 pbc="T T T"
Fe 0.000 0.000 0.000
Hg 1.599 1.599 1.599
Ge 4.798 4.798 4.798
Pd 3.198 3.198 3.198
```